Ba3NiPd2O6: relaxed, PBE with a Hubbard U.

a b c (Å): 5.978 5.978 6.795
angles (deg): 90.00 90.00 120.00
Fractional positions:
1 Pd 0.667 0.333 0.830
2 Pd 0.333 0.667 0.170
3 O 0.321 0.160 0.685
4 O 0.160 0.321 0.315
5 O 0.840 0.679 0.685
6 O 0.160 0.840 0.315
7 O 0.840 0.160 0.685
8 O 0.679 0.840 0.315
9 Ba 0.667 0.333 0.360
10 Ba 0.000 0.000 0.000
11 Ba 0.333 0.667 0.640
12 Ni 0.000 0.000 0.500

Output
total energy: -64.122 eV per formula unit
DOS at the Fermi energy: 0.53 states/eV/atom
space-group type: P-3m1 (164)